Below is a relaxed Rb2ErF6 crystal, with properties calculated at the PBE-GGA level.

Results
Formation energy (no corrections) = -3.068 eV/atom
V = 171.5 Å³/cell
Theoretical density = 4.38 g/cm³
Raw total energy = -0.185 hartree per atom

```
9
Lattice="4.018 0.000 -0.031 0.000 6.660 0.000 -1.581 -3.330 6.419" Properties=species:S:1:pos:R:3 pbc="T T T"
Rb 2.132 3.330 2.137
Rb 0.305 0.000 4.251
Er 0.000 0.000 0.000
F 0.123 1.392 1.716
F 2.315 -1.938 4.672
F 2.315 1.938 4.672
F 2.009 1.243 -0.016
F 0.123 5.268 1.716
F 2.009 5.417 -0.016
```